Entry 1:
Below is an optimized crystal structure of Li5Tl2InHg2, with properties calculated at the PBE level.

Cell lengths 11.1599, 11.1599, 3.4824 Å; angles 90.00, 90.00, 90.00 degrees
Atoms (fractional coordinates):
Li1 0.0000 0.5000 0.0000
Li2 0.0634 0.1931 0.0000
Li3 0.1931 0.9366 0.0000
Li4 0.3069 0.4366 0.0000
Li5 0.4366 0.6931 0.0000
Li6 0.5000 0.0000 0.0000
Li7 0.5634 0.3069 0.0000
Li8 0.6931 0.5634 0.0000
Li9 0.8069 0.0634 0.0000
Li10 0.9366 0.8069 0.0000
Tl1 0.1700 0.6700 0.5000
Tl2 0.3300 0.1700 0.5000
Tl3 0.6700 0.8300 0.5000
Tl4 0.8300 0.3300 0.5000
In1 0.0000 0.0000 0.5000
In2 0.5000 0.5000 0.5000
Hg1 0.1317 0.3683 0.5000
Hg2 0.3683 0.8683 0.5000
Hg3 0.6317 0.1317 0.5000
Hg4 0.8683 0.6317 0.5000

Output
**Formation energy**: -210.0 meV/atom



Entry 2:
Below is an optimized crystal structure of Ce2SmTmTl4, with properties calculated at the PBE level.

Cell lengths 9.4689, 9.4689, 9.4689 Å; angles 33.45, 33.45, 33.45 degrees
Atoms (fractional coordinates):
Ce1 0.2490 0.2490 0.2490
Ce2 0.7510 0.7510 0.7510
Sm1 0.0000 0.0000 0.0000
Tm1 0.5000 0.5000 0.5000
Tl1 0.1258 0.1258 0.1258
Tl2 0.3759 0.3759 0.3759
Tl3 0.6241 0.6241 0.6241
Tl4 0.8742 0.8742 0.8742

Output
**Formation energy**: -274.2 meV/atom



Entry 3:
Below is an optimized crystal structure of Hf2TlSiAu, with properties calculated at the PBE level.

Cell lengths 5.2614, 5.2614, 4.5102 Å; angles 90.00, 90.00, 90.00 degrees
Atoms (fractional coordinates):
Hf1 0.0000 0.5000 0.0000
Hf2 0.5000 0.0000 0.0000
Tl1 0.0000 0.0000 0.5000
Si1 0.5000 0.5000 0.5000
Au1 0.5000 0.5000 0.0000

Output
**ΔE_f (raw)**: 14.837 kcal/mol of atoms